Record 1
This record from the Alexandria database describes a relaxed structure of HgTe2Pt. The functional is PBE.

```
4
Lattice="-3.4578 0.1392 -0.1216 1.1585 -2.7495 -1.7576 -0.5232 -5.6191 8.4452" Properties=species:S:1:pos:R:3 pbc="T T T"
Hg -1.2805 -2.7099 1.1717
Pt -1.5421 -5.5194 5.3943
Te -0.4858 -5.2174 7.8415
Te -0.2990 -3.2112 4.8262
```

Calculated values
Formation energy without anion corrections ... 0.049 eV per atom
Theoretical density ... 9.5 g/cm3
Space-group type ... Cmmm

Record 2
This record from the Alexandria database describes a relaxed structure of La2WBr. The functional is PBE.

```
8
Lattice="6.9506 0.0000 0.0000 0.0000 6.9506 0.0000 3.4753 3.4753 6.2144" Properties=species:S:1:pos:R:3 pbc="T T T"
Br 3.4753 3.4753 0.0000
Br 3.4753 6.9506 3.1072
W 0.0000 0.0000 0.0000
W 6.9506 3.4753 3.1072
La 5.6455 1.7376 1.5536
La 1.3050 5.2129 1.5536
La 5.2129 4.7803 4.6608
La 8.6882 9.1208 4.6608
```

Calculated values
Energy relative to the lowest polymorph listed for this composition ... 2.02 eV/f.u.
Formation energy without anion corrections ... 0.283 eV per atom
Theoretical density ... 6.0 g/cm3
Space-group type ... I-42d

Record 3
This record from the Alexandria database describes a relaxed structure of NdErCoIr. The functional is PBE.

```
4
Lattice="-3.2927 1.8363 -3.0779 -1.1741 -2.4370 -4.0460 -4.3812 -2.0809 -0.4025" Properties=species:S:1:pos:R:3 pbc="T T T"
Co -4.4240 -1.3408 -3.7632
Ir 0.0000 0.0000 0.0000
Nd -2.2120 -0.6704 -1.8816
Er -6.6360 -2.0112 -5.6448
```

Calculated values
Theoretical density ... 11.5 g/cm3
Formation energy ... -399 meV per atom
Space-group type ... F-43m

Record 4
This record from the Alexandria database describes a relaxed structure of FeSb. The functional is PBE.

```
8
Lattice="3.6098 0.0000 0.0000 0.0000 7.8289 0.0000 0.0000 0.0000 5.2112" Properties=species:S:1:pos:R:3 pbc="T T T"
Sb 0.0000 2.3100 0.0000
Sb 0.0000 5.5189 0.0000
Sb 1.8049 6.2245 2.6056
Sb 1.8049 1.6044 2.6056
Fe 0.0000 0.0000 3.8627
Fe 0.0000 0.0000 1.3485
Fe 1.8049 3.9145 1.2571
Fe 1.8049 3.9145 3.9541
```

Calculated values
Formation energy without anion corrections ... 0.196 eV per atom
Theoretical density ... 8.0 g/cm3
Space-group type ... Immm

Record 5
This record from the Alexandria database describes a relaxed structure of CaSc2Mn. The functional is PBE.

```
4
Lattice="-4.8593 4.2841 8.2671 -5.9118 1.2184 8.5952 -3.0293 2.0927 9.8364" Properties=species:S:1:pos:R:3 pbc="T T T"
Sc -12.8373 7.0652 24.8356
Sc -0.9631 0.5300 1.8632
Ca -6.9002 3.7976 13.3494
Mn 0.0000 0.0000 0.0000
```

Calculated values
Energy relative to the lowest polymorph listed for this composition ... 2.46 eV/f.u.
Theoretical density ... 3.2 g/cm3
Formation energy ... 728 meV per atom
Space-group type ... R-3m

Record 6
This record from the Alexandria database describes a relaxed structure of Ac2TbHg5. The functional is PBE.

```
8
Lattice="-4.2292 -2.5973 2.2460 2.5756 -4.7560 -0.6501 4.0306 4.4628 6.1438" Properties=species:S:1:pos:R:3 pbc="T T T"
Ac 0.6779 -3.3075 4.0582
Ac 1.6991 0.4169 3.6815
Tb 0.0000 0.0000 0.0000
Hg -0.8268 -3.6767 0.7979
Hg 0.3801 -0.6865 6.5284
Hg 3.7825 -1.7659 5.0804
Hg 1.9969 -2.2040 1.2113
Hg -1.4055 -1.1247 2.6594
```

Calculated values
Theoretical density ... 11.8 g/cm3
Formation energy ... -396 meV per atom
Space-group type ... I4/mmm

Record 7
This record from the Alexandria database describes a relaxed structure of Sm4ThTl. The functional is PBE.

```
12
Lattice="-1.6020 -6.0989 -1.4306 5.0520 0.2067 7.4492 -7.6463 3.5635 0.9893" Properties=species:S:1:pos:R:3 pbc="T T T"
Sm -5.2181 2.5868 2.1453
Sm -2.4377 -2.3049 4.7868
Sm -3.4383 1.4487 4.9566
Sm -0.7145 0.2341 6.9465
Sm -3.4818 -2.5628 0.0615
Sm -0.7580 -3.7774 2.0514
Sm -1.7586 -0.0238 2.2212
Sm 1.0218 -4.9156 4.8627
Th 0.8192 -1.2852 4.2491
Th -5.0155 -1.0436 2.7588
Tl -0.4231 -1.5224 -0.3424
Tl -3.7732 -0.8064 7.3503
```

Calculated values
Energy relative to the lowest polymorph listed for this composition ... 0.57 eV/f.u.
Theoretical density ... 8.8 g/cm3
Formation energy ... 7 meV per atom
Space-group type ... C2/c

Record 8
This record from the Alexandria database describes a relaxed structure of LaPmCu. The functional is PBE.

```
12
Lattice="7.1837 0.3646 0.0000 -0.3879 6.7400 0.0000 0.0000 0.0000 7.2809" Properties=species:S:1:pos:R:3 pbc="T T T"
Cu 5.0535 5.6094 3.3120
Cu 1.4617 5.4271 0.3285
Cu 5.3341 1.6775 6.9524
Cu 1.7423 1.4952 3.9690
Pm 5.1611 4.3230 0.6969
Pm 1.5692 4.1407 2.9436
Pm 5.2266 2.9639 4.3373
Pm 1.6347 2.7816 6.5840
La 6.8224 6.6289 5.4503
La 3.2306 6.4466 5.4711
La 3.5652 0.6581 1.8098
La -0.0266 0.4757 1.8306
```

Calculated values
Energy relative to the lowest polymorph listed for this composition ... 0.21 eV/f.u.
Theoretical density ... 6.5 g/cm3
Formation energy ... -26 meV per atom
Space-group type ... P2_1/c